Record 1
VASP calculation (PBE) on a geometry-optimized ErZrNiRu structure.

Results
Its total energy is -7.486 eV per atom. The value obtained for the magnetization is 0.000 μB/atom. The value obtained for the formation energy is -444 meV per atom.

```
data_ErZrNiRu
_cell_length_a 6.614
_cell_length_b 6.614
_cell_length_c 6.614
_cell_angle_alpha 90.00
_cell_angle_beta 90.00
_cell_angle_gamma 90.00
_space_group_name_H-M_alt 'F -4 3 m'
_space_group_IT_number 216
_space_group_name_Hall 'F -4 2 3'
loop_
_atom_site_label
_atom_site_fract_x
_atom_site_fract_y
_atom_site_fract_z
_atom_site_occupancy
Er1 0.000 0.000 0.000 1
Zr1 0.000 0.000 0.500 1
Ni1 0.250 0.250 0.750 1
Ru1 0.250 0.250 0.250 1
```

=====

Record 2
VASP calculation (PBE) on a geometry-optimized Er2NiS structure.

Results
Its total energy is -5.186 eV per atom. The value obtained for the magnetization is 0.000 μB/atom. The uncorrected formation energy is -1.7 eV per formula unit. The calculation puts the energy above the most stable polymorph in this dataset at 793 meV/atom.

```
data_Er2NiS
_cell_length_a 3.5422
_cell_length_b 3.5422
_cell_length_c 25.3960
_cell_angle_alpha 90.00
_cell_angle_beta 90.00
_cell_angle_gamma 120.00
_space_group_name_H-M_alt 'R -3 m'
_space_group_IT_number 166
_space_group_name_Hall '-R 3 2"'
loop_
_atom_site_label
_atom_site_fract_x
_atom_site_fract_y
_atom_site_fract_z
_atom_site_occupancy
Er1 0.0000 0.0000 0.0989 1
Ni1 0.0000 0.0000 0.0000 1
S1 0.0000 0.0000 0.5000 1
```

=====

Record 3
VASP calculation (PBE) on a geometry-optimized Er7NiS5 structure.

Results
Its total energy is -6.078 eV per atom. The value obtained for the magnetization is 0.000 μB/atom. The uncorrected formation energy is -20.7 eV per formula unit.

```
data_Er7NiS5
_cell_length_a 3.795
_cell_length_b 12.723
_cell_length_c 23.205
_cell_angle_alpha 90.00
_cell_angle_beta 90.00
_cell_angle_gamma 90.00
_space_group_name_H-M_alt 'C m c m'
_space_group_IT_number 63
_space_group_name_Hall '-C 2c 2'
loop_
_atom_site_label
_atom_site_fract_x
_atom_site_fract_y
_atom_site_fract_z
_atom_site_occupancy
Er1 0.000 0.042 0.250 1
Er2 0.000 0.138 0.537 1
Er3 0.000 0.304 0.179 1
Er4 0.000 0.411 0.612 1
Ni1 0.000 0.303 0.750 1
S1 0.000 0.052 0.642 1
S2 0.000 0.223 0.071 1
S3 0.000 0.500 0.000 1
```